(1)
Sc2IrCl after structural relaxation, computed with PBE.

Values from the calculation:
Space-group type: Immm, No. 71

Cell: 4.9051 4.9051 4.9051 Å, 133.38 111.22 87.21°
Fractional coordinates of all 4 atoms:
Sc 0.5007 0.5007 0.0000
Ir 0.2500 0.7500 0.5000
Cl 0.7500 0.2500 0.5000
Sc 0.9993 0.9993 0.0000

(2)
ScIr2Cl after structural relaxation, computed with PBE.

Values from the calculation:
Space-group type: F-43m, No. 216

Cell: 4.5534 4.5534 4.5534 Å, 60.00 60.00 60.00°
Fractional coordinates of all 4 atoms:
Ir 0.0000 0.0000 0.0000
Sc 0.2500 0.2500 0.2500
Cl 0.5000 0.5000 0.5000
Ir 0.7500 0.7500 0.7500

(3)
Sc2IrCl after structural relaxation, computed with PBE.

Values from the calculation:
Space-group type: F-43m, No. 216

Cell: 4.7185 4.7185 4.7185 Å, 60.00 60.00 60.00°
Each line ends with the local moment (μB).
Fractional coordinates of all 4 atoms:
Sc 0.0000 0.0000 0.0000  0.07
Ir 0.7500 0.7500 0.7500  -0.02
Sc 0.2500 0.2500 0.2500  0.14
Cl 0.5000 0.5000 0.5000  0.00

(4)
ScIr2Cl after structural relaxation, computed with PBE.

Values from the calculation:
Space-group type: C2/m, No. 12

Cell: 5.3676 5.3676 4.3824 Å, 84.51 84.51 31.81°
Fractional coordinates of all 4 atoms:
Ir 0.4709 0.4709 0.5185
Sc 0.7500 0.7500 0.7500
Cl 0.2500 0.2500 0.2500
Ir 0.0291 0.0291 0.9815

(5)
Sc2IrCl after structural relaxation, computed with PBE.

Values from the calculation:
Space-group type: C2/m, No. 12

Cell: 7.0561 4.9194 3.0560 Å, 82.99 74.76 129.46°
Fractional coordinates of all 4 atoms:
Sc 0.5000 0.0000 0.5000
Sc 0.0000 0.0000 0.0000
Cl 0.0000 0.5000 0.5000
Ir 0.5000 0.5000 0.0000

(6)
ScIrCl3 after structural relaxation, computed with PBE.

Values from the calculation:
Space-group type: Pm-3m, No. 221

Cell: 4.8416 4.8416 4.8416 Å, 90.00 90.00 90.00°
Each line ends with the local moment (μB).
Fractional coordinates of all 5 atoms:
Cl 0.0000 0.5000 0.0000  -0.01
Ir 0.0000 0.0000 0.0000  -0.10
Cl 0.0000 0.0000 0.5000  -0.01
Sc 0.5000 0.5000 0.5000  1.02
Cl 0.5000 0.0000 0.0000  -0.01

(7)
Sc4IrCl after structural relaxation, computed with PBE.

Values from the calculation:
Space-group type: F-43m, No. 216

Cell: 5.6564 5.6564 5.6564 Å, 60.00 60.00 60.00°
Each line ends with the local moment (μB).
Fractional coordinates of all 6 atoms:
Sc 0.8819 0.3727 0.3727  0.20
Cl 0.7500 0.7500 0.7500  0.00
Sc 0.3727 0.3727 0.3727  0.20
Sc 0.3727 0.3727 0.8819  0.20
Ir 0.0000 0.0000 0.0000  0.04
Sc 0.3727 0.8819 0.3727  0.20

(8)
ScIr2Cl after structural relaxation, computed with PBE.

Values from the calculation:
Space-group type: Pm, No. 6

Cell: 3.7073 3.0381 7.6960 Å, 77.89 90.00 90.00°
Fractional coordinates of all 4 atoms:
Sc 0.0000 0.5748 0.4695
Cl 0.5000 0.9673 0.6717
Ir 0.5000 0.2000 0.2340
Ir 0.0000 0.7579 0.1249

(9)
ScIr2Cl after structural relaxation, computed with PBE.

Values from the calculation:
Space-group type: C2/m, No. 12

Cell: 5.5690 5.5690 2.9254 Å, 75.44 75.44 122.37°
Fractional coordinates of all 4 atoms:
Sc 0.5000 0.0000 0.5000
Ir 0.5000 0.5000 0.0000
Cl 0.0000 0.5000 0.5000
Ir 0.0000 0.0000 0.0000

(10)
Sc2IrCl after structural relaxation, computed with PBE.

Values from the calculation:
Space-group type: R-3m, No. 166

Cell: 9.3370 9.3370 9.3370 Å, 18.97 18.97 18.97°
Fractional coordinates of all 4 atoms:
Cl 0.5000 0.5000 0.5000
Ir 0.0000 0.0000 0.0000
Sc 0.9104 0.9104 0.9104
Sc 0.0896 0.0896 0.0896

(11)
Sc2IrCl after structural relaxation, computed with PBE.

Values from the calculation:
Space-group type: P2/m, No. 10

Cell: 3.1199 3.3434 7.6239 Å, 89.93 90.00 90.00°
Fractional coordinates of all 4 atoms:
Ir 0.5000 0.7500 0.7500
Sc 0.0000 0.2507 0.5402
Sc 0.0000 0.2493 0.9598
Cl 0.5000 0.2500 0.2500

(12)
ScIr2Cl after structural relaxation, computed with PBE.

Values from the calculation:
Space-group type: Cmmm, No. 65

Cell: 2.9342 2.9342 8.7540 Å, 90.00 90.00 116.94°
Fractional coordinates of all 4 atoms:
Ir 0.0000 0.0000 0.4916
Cl 0.5000 0.5000 0.7500
Sc 0.5000 0.5000 0.2500
Ir 0.0000 0.0000 0.0084

Let's list formation energy (no corrections) in order: -16.45, 3.15, 0.56, -8.27, -19.07, -1.13, 9.45, -8.97, -2.40, -8.15, -26.75, 3.12 kcal/mol of atoms.
Let's list uncorrected energy in order: -0.2409, -0.2329, -0.2138, -0.2511, -0.2451, -0.1542, -0.2056, -0.2522, -0.2418, -0.2277, -0.2573, -0.2330 Ha/atom.